# 1
# FeW5

A geometry-optimized FeW5 structure (PBE, Alexandria). Values from VASP.

```
&SYSTEM
  ibrav = 0, nat = 6, ntyp = 2
/
ATOMIC_SPECIES
Fe 55.84 Fe.upf
W 183.84 W.upf
CELL_PARAMETERS angstrom
4.667 0.000 0.000
0.000 1.310 7.740
0.000 -1.310 7.740
ATOMIC_POSITIONS crystal
Fe 0.000 0.000 0.000
W 0.000 0.334 0.334
W 0.000 0.659 0.659
W 0.500 0.230 0.230
W 0.500 0.559 0.559
W 0.500 0.899 0.899
```

Summary:
* space-group type: No. 38
* crystal system: orthorhombic
* size of the total moment: 2.14 μB/f.u.
* DFT formation energy: 0.41 eV per atom
* uncorrected energy: -11.80 eV per atom

# 2
# FeW2

A geometry-optimized FeW2 structure (PBE, Alexandria). Values from VASP.

```
&SYSTEM
  ibrav = 0, nat = 3, ntyp = 2
/
ATOMIC_SPECIES
Fe 55.84 Fe.upf
W 183.84 W.upf
CELL_PARAMETERS angstrom
-1.355 1.355 5.860
1.355 -1.355 5.860
1.355 1.355 -5.860
ATOMIC_POSITIONS crystal
Fe 0.000 0.000 0.000
W 0.347 0.347 0.000
W 0.653 0.653 0.000
```

Summary:
* space-group type: No. 139
* crystal system: tetragonal
* size of the total moment: 0.43 μB/f.u.
* DFT formation energy: 0.19 eV per atom
* uncorrected energy: -11.27 eV per atom

# 3
# FeW7

A geometry-optimized FeW7 structure (PBE, Alexandria). Values from VASP.

```
&SYSTEM
  ibrav = 0, nat = 8, ntyp = 2
/
ATOMIC_SPECIES
Fe 55.84 Fe.upf
W 183.84 W.upf
CELL_PARAMETERS angstrom
0.000 3.995 3.995
3.995 0.000 3.995
3.995 3.995 0.000
ATOMIC_POSITIONS crystal
Fe 0.000 0.000 0.000
W 0.000 0.000 0.500
W 0.000 0.500 0.000
W 0.000 0.500 0.500
W 0.500 0.000 0.000
W 0.500 0.000 0.500
W 0.500 0.500 0.000
W 0.500 0.500 0.500
```

Summary:
* space-group type: No. 225
* crystal system: cubic
* size of the total moment: 1.99 μB/f.u.
* DFT formation energy: 0.42 eV per atom
* uncorrected energy: -11.97 eV per atom

# 4
# Fe5W

A geometry-optimized Fe5W structure (PBE, Alexandria). Values from VASP.

```
&SYSTEM
  ibrav = 0, nat = 6, ntyp = 2
/
ATOMIC_SPECIES
Fe 55.84 Fe.upf
W 183.84 W.upf
CELL_PARAMETERS angstrom
4.616 -1.278 0.000
4.616 1.278 0.000
-1.441 0.000 5.787
ATOMIC_POSITIONS crystal
Fe 0.000 0.000 0.000
Fe 0.056 0.056 0.596
Fe 0.345 0.345 0.651
Fe 0.402 0.402 0.281
Fe 0.674 0.674 0.338
W 0.726 0.726 0.941
```

Summary:
* space-group type: No. 8
* crystal system: monoclinic
* size of the total moment: 0.14 μB/f.u.
* DFT formation energy: 0.17 eV per atom
* uncorrected energy: -9.04 eV per atom

# 5
# Fe4W

A geometry-optimized Fe4W structure (PBE, Alexandria). Values from VASP.

```
&SYSTEM
  ibrav = 0, nat = 5, ntyp = 2
/
ATOMIC_SPECIES
Fe 55.84 Fe.upf
W 183.84 W.upf
CELL_PARAMETERS angstrom
-2.732 2.732 2.732
2.732 -2.732 2.732
2.732 2.732 -2.732
ATOMIC_POSITIONS crystal
Fe 0.000 0.000 0.500
Fe 0.000 0.500 0.000
Fe 0.500 0.000 0.000
Fe 0.500 0.500 0.500
W 0.000 0.000 0.000
```

Summary:
* space-group type: No. 229
* crystal system: cubic
* size of the total moment: 7.70 μB/f.u.
* DFT formation energy: 1.21 eV per atom
* uncorrected energy: -8.15 eV per atom

# 6
# FeW4

A geometry-optimized FeW4 structure (PBE, Alexandria). Values from VASP.

```
&SYSTEM
  ibrav = 0, nat = 5, ntyp = 2
/
ATOMIC_SPECIES
Fe 55.84 Fe.upf
W 183.84 W.upf
CELL_PARAMETERS angstrom
-2.064 2.064 5.648
2.064 -2.064 5.648
2.064 2.064 -5.648
ATOMIC_POSITIONS crystal
Fe 0.000 0.000 0.000
W 0.250 0.750 0.500
W 0.386 0.386 0.000
W 0.614 0.614 0.000
W 0.750 0.250 0.500
```

Summary:
* space-group type: No. 139
* crystal system: tetragonal
* size of the total moment: 3.22 μB/f.u.
* DFT formation energy: 1.25 eV per atom
* uncorrected energy: -10.80 eV per atom

# 7
# Fe5W4

A geometry-optimized Fe5W4 structure (PBE, Alexandria). Values from VASP.

```
&SYSTEM
  ibrav = 0, nat = 18, ntyp = 2
/
ATOMIC_SPECIES
Fe 55.84 Fe.upf
W 183.84 W.upf
CELL_PARAMETERS angstrom
7.328 0.000 0.000
-3.664 6.346 0.000
0.000 0.000 5.093
ATOMIC_POSITIONS crystal
Fe 0.000 0.336 0.250
Fe 0.000 0.664 0.750
Fe 0.333 0.667 0.000
Fe 0.333 0.667 0.500
Fe 0.336 0.000 0.250
Fe 0.336 0.336 0.750
Fe 0.664 0.000 0.750
Fe 0.664 0.664 0.250
Fe 0.667 0.333 0.000
Fe 0.667 0.333 0.500
W 0.000 0.000 0.000
W 0.000 0.000 0.500
W 0.000 0.344 0.750
W 0.000 0.656 0.250
W 0.344 0.000 0.750
W 0.344 0.344 0.250
W 0.656 0.000 0.250
W 0.656 0.656 0.750
```

Summary:
* space-group type: No. 193
* crystal system: hexagonal
* size of the total moment: 1.56 μB/f.u.
* DFT formation energy: 0.25 eV per atom
* uncorrected energy: -10.21 eV per atom

# 8
# FeW5

A geometry-optimized FeW5 structure (PBE, Alexandria). Values from VASP.

```
&SYSTEM
  ibrav = 0, nat = 6, ntyp = 2
/
ATOMIC_SPECIES
Fe 55.84 Fe.upf
W 183.84 W.upf
CELL_PARAMETERS angstrom
2.213 -6.615 0.000
2.213 6.615 0.000
0.000 0.000 3.180
ATOMIC_POSITIONS crystal
Fe 0.000 0.000 0.000
W 0.163 0.837 0.500
W 0.336 0.664 0.000
W 0.500 0.500 0.500
W 0.664 0.336 0.000
W 0.837 0.163 0.500
```

Summary:
* space-group type: No. 65
* crystal system: orthorhombic
* size of the total moment: 2.11 μB/f.u.
* DFT formation energy: 0.09 eV per atom
* uncorrected energy: -12.11 eV per atom

# 9
# Fe4W

A geometry-optimized Fe4W structure (PBE, Alexandria). Values from VASP.

```
&SYSTEM
  ibrav = 0, nat = 5, ntyp = 2
/
ATOMIC_SPECIES
Fe 55.84 Fe.upf
W 183.84 W.upf
CELL_PARAMETERS angstrom
4.429 0.000 0.000
0.000 4.429 0.000
0.000 0.000 4.429
ATOMIC_POSITIONS crystal
Fe 0.000 0.000 0.000
Fe 0.000 0.500 0.500
Fe 0.500 0.000 0.500
Fe 0.500 0.500 0.000
W 0.500 0.500 0.500
```

Summary:
* space-group type: No. 221
* crystal system: cubic
* size of the total moment: 7.35 μB/f.u.
* DFT formation energy: 1.72 eV per atom
* uncorrected energy: -7.64 eV per atom

# 10
# Y2FeW2

A geometry-optimized Y2FeW2 structure (PBE, Alexandria). Values from VASP.

```
&SYSTEM
  ibrav = 0, nat = 5, ntyp = 3
/
ATOMIC_SPECIES
Y 88.91 Y.upf
Fe 55.84 Fe.upf
W 183.84 W.upf
CELL_PARAMETERS angstrom
-1.775 1.775 8.843
1.775 -1.775 8.843
1.775 1.775 -8.843
ATOMIC_POSITIONS crystal
Y 0.091 0.091 0.000
Y 0.909 0.909 0.000
Fe 0.500 0.500 0.000
W 0.250 0.750 0.500
W 0.750 0.250 0.500
```

Summary:
* space-group type: No. 139
* crystal system: tetragonal
* size of the total moment: 0.01 μB/f.u.
* DFT formation energy: 0.76 eV per atom
* uncorrected energy: -8.70 eV per atom

# 11
# Y2FeW

A geometry-optimized Y2FeW structure (PBE, Alexandria). Values from VASP.

```
&SYSTEM
  ibrav = 0, nat = 4, ntyp = 3
/
ATOMIC_SPECIES
Y 88.91 Y.upf
Fe 55.84 Fe.upf
W 183.84 W.upf
CELL_PARAMETERS angstrom
-2.168 2.168 4.495
2.168 -2.168 4.495
2.168 2.168 -4.495
ATOMIC_POSITIONS crystal
Y 0.000 0.000 0.000
Y 0.750 0.250 0.500
Fe 0.250 0.750 0.500
W 0.500 0.500 0.000
```

Summary:
* space-group type: No. 119
* crystal system: tetragonal
* size of the total moment: 3.50 μB/f.u.
* DFT formation energy: 0.68 eV per atom
* uncorrected energy: -7.91 eV per atom

# 12
# YFeW

A geometry-optimized YFeW structure (PBE, Alexandria). Values from VASP.

```
&SYSTEM
  ibrav = 0, nat = 3, ntyp = 3
/
ATOMIC_SPECIES
Y 88.91 Y.upf
Fe 55.84 Fe.upf
W 183.84 W.upf
CELL_PARAMETERS angstrom
0.000 3.080 3.080
3.080 0.000 3.080
3.080 3.080 0.000
ATOMIC_POSITIONS crystal
Y 0.000 0.000 0.000
Fe 0.250 0.250 0.250
W 0.500 0.500 0.500
```

Summary:
* space-group type: No. 216
* crystal system: cubic
* size of the total moment: 0.00 μB/f.u.
* DFT formation energy: 0.67 eV per atom
* uncorrected energy: -8.62 eV per atom

Which value of size of the total moment does entry 12 give?
0.00 μB/f.u.

uncorrected energy of number 1 (FeW5)?
-11.80 eV per atom

DFT formation energy of number 2 (FeW2)?
0.19 eV per atom